Compound: TmBeGePt3
Source: Alexandria
Functional: PBE
Structure: relaxed

Calculated values
For the electronic total energy, the calculation gives -5.8838 eV/atom. The value obtained for the formation energy is -728 meV/atom. Its total moment is 0.0 μB/f.u.

Cell: 6.3879 11.8078 5.5122 Å, 90.00 90.00 90.00°
Space group Cmcm (No. 63)
Symmetry-distinct sites (fractional):
Tm (0.0000, 0.2169, 0.2500) [4 per cell]
Be (0.0000, 0.4698, 0.2500) [4 per cell]
Ge (0.0000, 0.1319, 0.7500) [4 per cell]
Pt (0.0000, 0.3328, 0.7500) [4 per cell]
Pt (0.2247, 0.0000, 0.0000) [8 per cell]